An optimized crystal structure of Sc3RuPt, computed with PBE-GGA.

```
Sc3RuPt
1.0
4.864 0.000 0.000
0.000 4.864 0.000
0.000 0.000 4.864
Sc Ru Pt
3 1 1
Cartesian
2.432 0.000 0.000 Sc
0.000 0.000 2.432 Sc
0.000 2.432 0.000 Sc
0.000 0.000 0.000 Ru
2.432 2.432 2.432 Pt
```

Results
Fermi-level density of states   0.69 states/eV per atom
Space group   Pm-3m, No. 221
Distance to the lowest polymorph of the same formula   0.00 kJ per mole of atoms
Energy of formation   -0.66 eV/f.u.